This record from Alexandria describes InNi2O after structural relaxation. The functional is GGA+U.

Cell: 4.162 4.162 4.162 Å, 60.00 60.00 60.00°
Fractional positions:
In (0.000, 0.000, 0.000)
Ni (0.250, 0.250, 0.250)
Ni (0.750, 0.750, 0.750)
O (0.500, 0.500, 0.500)

Computed properties:
energy above the lowest structure with this stoichiometry: 860 meV/atom
space-group type: No. 225
D(E_F): 0.686 states/eV per atom
electronic total energy: -2.33 eV/atom
mass density: 8.08 g/cm³